Record 1
4
Lattice="1.438 0.830 9.347 -1.438 0.830 9.347 0.000 -1.660 9.347" Properties=species:S:1:pos:R:3 comment="PBE TaCuAg2, optimized geometry" total_magnetization_mub_per_fu=0.0 mass_density_g_cm3=11.42 n_ef_per_ev_fu=2.6 crystal_system=trigonal formation_energy_mev_per_atom=199 pbc="T T T"
Ta 0.000 0.000 0.000
Cu 0.000 0.000 20.892
Ag 0.000 0.000 6.856
Ag 0.000 0.000 13.742

=====

Record 2
10
Lattice="-5.347 5.347 3.065 5.347 -5.347 3.065 5.347 5.347 -3.065" Properties=species:S:1:pos:R:3 comment="PBE La4Tb5Ho, optimized geometry" total_magnetization_mub_per_fu=0.0 mass_density_g_cm3=7.18 n_ef_per_ev_fu=13.6 crystal_system=tetragonal formation_energy_mev_per_atom=221 pbc="T T T"
La 3.455 0.000 0.000
La 7.239 0.000 0.000
La 0.000 3.455 0.000
La 0.000 7.239 0.000
Tb 3.331 3.331 -0.159
Tb 2.016 -2.016 2.907
Tb -2.016 2.016 2.907
Tb 2.016 2.016 2.907
Tb 0.000 0.000 4.531
Ho 0.000 0.000 1.317

=====

Record 3
10
Lattice="-3.998 5.897 3.059 3.998 -5.897 3.059 3.998 5.897 -3.059" Properties=species:S:1:pos:R:3 comment="PBE Dy2ZrSb2, optimized geometry" total_magnetization_mub_per_fu=0.0 mass_density_g_cm3=7.59 raw_formation_energy_ev_per_atom=-0.73 n_ef_per_ev_fu=3.8 crystal_system=orthorhombic pbc="T T T"
Dy 1.246 1.763 0.000
Dy 1.246 -1.763 3.059
Dy 2.753 7.660 0.000
Dy 2.753 4.134 3.059
Zr 3.998 0.000 1.530
Zr 0.000 5.897 1.530
Sb 6.221 1.266 0.000
Sb 2.223 4.631 0.000
Sb 1.776 1.266 3.059
Sb -2.223 4.631 3.059

=====

Record 4
4
Lattice="2.048 1.182 4.479 -2.048 1.182 4.479 0.000 -2.365 4.479" Properties=species:S:1:pos:R:3 comment="PBE ZrPRh2, optimized geometry" total_magnetization_mub_per_fu=0.0 mass_density_g_cm3=8.37 n_ef_per_ev_fu=3.4 crystal_system=trigonal formation_energy_mev_per_atom=-776 pbc="T T T"
Zr 0.000 0.000 0.000
P 0.000 0.000 2.661
Rh 0.000 0.000 7.553
Rh 0.000 0.000 10.511

=====

Record 5
10
Lattice="7.867 0.000 0.000 0.000 7.867 0.000 0.000 0.000 4.146" Properties=species:S:1:pos:R:3 comment="PBE LiIn2Se2, optimized geometry" total_magnetization_mub_per_fu=0.0 mass_density_g_cm3=5.11 raw_formation_energy_ev_per_atom=-0.45 n_ef_per_ev_fu=3.2 crystal_system=tetragonal pbc="T T T"
Li 0.000 0.000 0.000
Li 3.934 3.934 0.000
In 1.019 2.914 2.073
In 2.914 6.848 2.073
In 4.953 1.019 2.073
In 6.848 4.953 2.073
Se 1.613 5.546 0.000
Se 2.321 1.613 0.000
Se 5.546 6.254 0.000
Se 6.254 2.321 0.000

=====

Record 6
4
Lattice="2.886 0.000 0.000 -1.443 2.499 0.000 0.000 0.000 10.560" Properties=species:S:1:pos:R:3 comment="PBE ZrW, optimized geometry" total_magnetization_mub_per_fu=0.0 mass_density_g_cm3=12.00 n_ef_per_ev_fu=1.8 crystal_system=hexagonal formation_energy_mev_per_atom=457 pbc="T T T"
Zr 0.000 0.000 0.000
Zr 0.000 0.000 5.280
W 0.000 1.666 2.640
W 1.443 0.833 7.920

=====

Record 7
19
Lattice="6.244 3.605 4.171 -6.244 3.605 4.171 0.000 -7.210 4.171" Properties=species:S:1:pos:R:3 comment="PBE Nd6GaSe12, optimized geometry" total_magnetization_mub_per_fu=0.0 mass_density_g_cm3=5.55 raw_formation_energy_ev_per_atom=-1.45 n_ef_per_ev_fu=7.1 crystal_system=trigonal pbc="T T T"
Nd -3.077 -3.149 6.770
Nd -4.266 1.090 5.743
Nd 1.189 -4.239 5.743
Nd -1.189 4.239 6.770
Nd 4.266 -1.090 6.770
Nd 3.077 3.149 5.743
Ga 0.000 0.000 6.257
Se -1.535 -5.225 5.461
Se -5.292 -1.283 7.052
Se -2.218 -0.993 4.714
Se -3.757 3.941 5.461
Se 1.969 -1.425 4.714
Se -0.250 -2.417 7.800
Se 0.250 2.417 4.714
Se -1.969 1.425 7.800
Se 3.757 -3.941 7.052
Se 2.218 0.993 7.800
Se 5.292 1.283 5.461
Se 1.535 5.225 7.052

=====

Record 8
9
Lattice="-3.231 3.231 8.423 3.231 -3.231 8.423 3.231 3.231 -8.423" Properties=species:S:1:pos:R:3 comment="PBE Ac2La2Bi3Te2, optimized geometry" total_magnetization_mub_per_fu=0.0 mass_density_g_cm3=7.62 raw_formation_energy_ev_per_atom=-0.85 n_ef_per_ev_fu=7.3 crystal_system=tetragonal pbc="T T T"
Ac 0.000 0.000 3.474
Ac 0.000 0.000 13.371
La 3.231 0.000 0.000
La 0.000 3.231 0.000
Bi 0.000 0.000 0.000
Bi 3.231 0.000 4.211
Bi 0.000 3.231 4.211
Te 0.000 0.000 6.822
Te 0.000 0.000 10.023

=====

Record 9
4
Lattice="0.000 3.025 3.025 3.025 0.000 3.025 3.025 3.025 0.000" Properties=species:S:1:pos:R:3 comment="PBE LaPtN2, optimized geometry" total_magnetization_mub_per_fu=0.0 mass_density_g_cm3=10.86 raw_formation_energy_ev_per_atom=0.32 n_ef_per_ev_fu=4.5 crystal_system=cubic pbc="T T T"
La 0.000 0.000 0.000
Pt 3.025 3.025 3.025
N 1.512 1.512 1.512
N 4.537 4.537 4.537

=====

Record 10
5
Lattice="4.176 0.000 0.000 0.000 4.176 0.000 0.000 0.000 3.906" Properties=species:S:1:pos:R:3 comment="PBE MnTc2SnC, optimized geometry" total_magnetization_mub_per_fu=2.4 mass_density_g_cm3=9.30 n_ef_per_ev_fu=3.4 crystal_system=tetragonal formation_energy_mev_per_atom=29 pbc="T T T"
Mn 0.000 0.000 0.000
Tc 0.000 2.088 1.953
Tc 2.088 0.000 1.953
Sn 2.088 2.088 0.000
C 0.000 0.000 1.953

=====

Record 11
4
Lattice="2.058 1.188 5.937 -2.058 1.188 5.937 0.000 -2.377 5.937" Properties=species:S:1:pos:R:3 comment="PBE TbCeCoSi, optimized geometry" total_magnetization_mub_per_fu=0.2 mass_density_g_cm3=7.36 raw_formation_energy_ev_per_atom=-0.46 n_ef_per_ev_fu=4.7 crystal_system=trigonal pbc="T T T"
Tb 0.000 0.000 0.000
Ce 0.000 0.000 3.359
Co 0.000 0.000 13.748
Si 0.000 0.000 7.457

=====

Record 12
10
Lattice="8.340 0.000 0.000 0.000 8.340 0.000 0.000 0.000 2.610" Properties=species:S:1:pos:R:3 comment="PBE K2RuC2, optimized geometry" total_magnetization_mub_per_fu=2.5 mass_density_g_cm3=3.72 n_ef_per_ev_fu=3.9 crystal_system=tetragonal formation_energy_mev_per_atom=2710 pbc="T T T"
K 1.067 3.103 0.000
K 3.103 7.273 0.000
K 5.236 1.067 0.000
K 7.273 5.236 0.000
Ru 0.000 0.000 0.000
Ru 4.170 4.170 0.000
C 1.455 5.625 1.305
C 2.715 1.455 1.305
C 5.625 6.885 1.305
C 6.885 2.715 1.305

=====

Record 13
8
Lattice="2.912 -3.892 0.000 2.912 3.892 0.000 -0.877 0.000 5.097" Properties=species:S:1:pos:R:3 comment="PBE LaGeF6, optimized geometry" total_magnetization_mub_per_fu=0.6 mass_density_g_cm3=4.68 raw_formation_energy_ev_per_atom=-3.00 n_ef_per_ev_fu=3.2 crystal_system=monoclinic pbc="T T T"
La 0.000 0.000 0.000
Ge 2.473 0.000 2.549
F 1.766 1.292 1.145
F 0.659 0.000 3.342
F 3.181 1.292 3.952
F 1.766 -1.292 1.145
F 4.288 0.000 1.755
F 3.181 -1.292 3.952

=====

Record 14
28
Lattice="17.083 0.000 0.000 0.000 4.246 0.000 0.000 0.000 6.632" Properties=species:S:1:pos:R:3 comment="PBE ErAl4Ir2, optimized geometry" total_magnetization_mub_per_fu=0.0 mass_density_g_cm3=9.11 n_ef_per_ev_fu=3.9 crystal_system=orthorhombic formation_energy_mev_per_atom=-803 pbc="T T T"
Er 2.398 1.061 0.159
Er 6.144 3.184 3.475
Er 10.939 1.061 3.157
Er 14.685 3.184 6.473
Al 0.564 3.184 5.641
Al 1.181 1.061 3.273
Al 3.190 3.184 2.206
Al 3.320 3.184 4.886
Al 5.221 1.061 1.570
Al 5.351 1.061 5.522
Al 7.360 3.184 6.589
Al 7.978 1.061 2.325
Al 9.105 3.184 4.307
Al 9.723 1.061 0.043
Al 11.731 3.184 1.110
Al 11.861 3.184 5.062
Al 13.763 1.061 1.746
Al 13.893 1.061 4.426
Al 15.901 3.184 3.359
Al 16.519 1.061 0.991
Ir 0.669 3.184 1.616
Ir 3.687 1.061 3.566
Ir 4.854 3.184 0.250
Ir 7.872 1.061 4.931
Ir 9.210 3.184 1.700
Ir 12.229 1.061 6.382
Ir 13.395 3.184 3.066
Ir 16.414 1.061 5.016